--- i ---
A plane-wave DFT calculation with PBE was carried out for an optimized crystal structure of TaZnCoBi.

Results
As for the crystal system: cubic. Its space group is F-43m. As for the calculated volume: 70.02 Å³/cell.

Cell: 4.6264 4.6264 4.6264 Å, 60.00 60.00 60.00°
With the nearest neighbours (Å) after each atom.
Atoms (fractional coordinates):
Bi1 0.0000 0.0000 0.0000  4 Ta 2.83, 4 Co 2.83
Co1 0.7500 0.7500 0.7500  4 Zn 2.83, 4 Bi 2.83
Ta1 0.2500 0.2500 0.2500  4 Bi 2.83, 4 Zn 2.83
Zn1 0.5000 0.5000 0.5000  4 Co 2.83, 4 Ta 2.83

---

--- ii ---
A plane-wave DFT calculation with PBE was carried out for an optimized crystal structure of TaZnCoBi.

Results
As for the crystal system: cubic. Its space group is F-43m. As for the calculated volume: 70.10 Å³/cell.

Cell: 4.6281 4.6281 4.6281 Å, 60.00 60.00 60.00°
With the nearest neighbours (Å) after each atom.
Atoms (fractional coordinates):
Bi1 0.0000 0.0000 0.0000  4 Co 2.83, 4 Zn 2.83
Co1 0.7500 0.7500 0.7500  4 Bi 2.83, 4 Ta 2.83
Ta1 0.5000 0.5000 0.5000  4 Zn 2.83, 4 Co 2.83
Zn1 0.2500 0.2500 0.2500  4 Ta 2.83, 4 Bi 2.83

---

Which one sits at the top of the stability order? ii does.

---

--- i ---
A plane-wave DFT calculation with PBE was carried out for an optimized crystal structure of YCoTcBi.

Results
As for the crystal system: cubic. Its space group is F-43m. As for the calculated volume: 73.87 Å³/cell.

Cell: 4.7096 4.7096 4.7096 Å, 60.00 60.00 60.00°
With the nearest neighbours (Å) after each atom.
Atoms (fractional coordinates):
Bi1 0.0000 0.0000 0.0000  4 Tc 2.88, 4 Co 2.88
Co1 0.7500 0.7500 0.7500  4 Bi 2.88, 4 Y 2.88
Tc1 0.2500 0.2500 0.2500  4 Y 2.88, 4 Bi 2.88
Y1 0.5000 0.5000 0.5000  4 Co 2.88, 4 Tc 2.88

---

--- ii ---
A plane-wave DFT calculation with PBE was carried out for an optimized crystal structure of YCoTcBi.

Results
As for the crystal system: cubic. Its space group is F-43m. As for the calculated volume: 78.80 Å³/cell.

Cell: 4.8123 4.8123 4.8123 Å, 60.00 60.00 60.00°
With the nearest neighbours (Å) after each atom.
Atoms (fractional coordinates):
Bi1 0.0000 0.0000 0.0000  4 Y 2.95, 4 Co 2.95
Co1 0.7500 0.7500 0.7500  4 Tc 2.95, 4 Bi 2.95
Tc1 0.5000 0.5000 0.5000  4 Co 2.95, 4 Y 2.95
Y1 0.2500 0.2500 0.2500  4 Bi 2.95, 4 Tc 2.95

---

Which one sits at the top of the stability order? i does.

---

--- i ---
A plane-wave DFT calculation with PBE was carried out for an optimized crystal structure of ZnCoBiW.

Results
As for the crystal system: cubic. Its space group is F-43m. As for the calculated volume: 67.86 Å³/cell.

Cell: 4.5783 4.5783 4.5783 Å, 60.00 60.00 60.00°
With the nearest neighbours (Å) after each atom.
Atoms (fractional coordinates):
Bi1 0.0000 0.0000 0.0000  4 Co 2.80, 4 Zn 2.80
Co1 0.7500 0.7500 0.7500  4 W 2.80, 4 Bi 2.80
W1 0.5000 0.5000 0.5000  4 Co 2.80, 4 Zn 2.80
Zn1 0.2500 0.2500 0.2500  4 W 2.80, 4 Bi 2.80

---

--- ii ---
A plane-wave DFT calculation with PBE was carried out for an optimized crystal structure of ZnCoBiW.

Results
As for the crystal system: cubic. Its space group is F-43m. As for the calculated volume: 66.97 Å³/cell.

Cell: 4.5583 4.5583 4.5583 Å, 60.00 60.00 60.00°
With the nearest neighbours (Å) after each atom.
Atoms (fractional coordinates):
Bi1 0.0000 0.0000 0.0000  4 W 2.79, 4 Co 2.79
Co1 0.7500 0.7500 0.7500  4 Zn 2.79, 4 Bi 2.79
W1 0.2500 0.2500 0.2500  4 Bi 2.79, 4 Zn 2.79
Zn1 0.5000 0.5000 0.5000  4 Co 2.79, 4 W 2.79

---

Which one sits at the top of the stability order? ii does.